{"formula": "NiOsRu", "functional": "GGA-PBE", "state": "relaxed", "lattice_angstrom": [[4.579, 0.000, 0.001], [0.000, 7.892, 0.000], [-1.373, 0.000, 4.366]], "species": ["Ru", "Ru", "Ru", "Ru", "Os", "Os", "Os", "Os", "Ni", "Ni", "Ni", "Ni"], "fractional_positions": [[0.500, 0.330, 0.000], [0.500, 0.830, 0.500], [0.500, 0.170, 0.500], [0.500, 0.670, 0.000], [0.000, 0.666, 0.500], [0.000, 0.834, 0.000], [0.000, 0.334, 0.500], [0.000, 0.166, 0.000], [0.000, 0.000, 0.500], [0.500, 0.500, 0.500], [0.000, 0.500, 0.000], [0.500, 0.000, 0.000]], "formation_enthalpy_0k_kcal_per_mol_atoms": 1.4, "de_polymorph_mev_per_atom": 17.8, "energy_ev_per_cell": -104.40, "dos_ef_per_ev_cell": 13.89}

---

{"formula": "NiOs2Ru", "functional": "GGA-PBE", "state": "relaxed", "lattice_angstrom": [[-1.586, -0.021, 2.127], [-0.451, -1.787, -1.909], [5.574, -5.784, 4.099]], "species": ["Ni", "Ru", "Os", "Os"], "fractional_positions": [[0.500, 0.500, 0.750], [0.000, 0.000, 0.507], [0.500, 0.500, 0.252], [0.000, 0.000, 0.991]], "formation_enthalpy_0k_kcal_per_mol_atoms": 12.6, "de_polymorph_mev_per_atom": 407.9, "energy_ev_per_cell": -35.33, "dos_ef_per_ev_cell": 6.95}

---

{"formula": "Ni2OsRu", "functional": "GGA-PBE", "state": "relaxed", "lattice_angstrom": [[5.483, 0.000, 0.000], [0.000, 5.483, 0.000], [2.742, 2.742, 4.754]], "species": ["Os", "Os", "Ni", "Ni", "Ni", "Ni", "Ru", "Ru"], "fractional_positions": [[0.750, 0.250, 0.500], [0.000, 0.000, 0.000], [0.627, 0.125, 0.250], [0.375, 0.373, 0.750], [0.875, 0.877, 0.750], [0.123, 0.625, 0.250], [0.500, 0.500, 0.000], [0.250, 0.750, 0.500]], "formation_enthalpy_0k_kcal_per_mol_atoms": 35.5, "de_polymorph_mev_per_atom": 1466.1, "energy_ev_per_cell": -51.82, "dos_ef_per_ev_cell": 14.25}

---

{"formula": "NiOsRu", "functional": "GGA-PBE", "state": "relaxed", "lattice_angstrom": [[-2.233, -2.290, 4.245], [-2.869, -1.147, -2.128], [4.973, -5.607, -3.684]], "species": ["Os", "Os", "Os", "Os", "Ni", "Ni", "Ni", "Ni", "Ru", "Ru", "Ru", "Ru"], "fractional_positions": [[0.000, 0.000, 0.500], [0.000, 0.500, 0.000], [0.500, 0.000, 0.500], [0.500, 0.500, 0.000], [0.330, 0.500, 0.664], [0.330, 0.000, 0.164], [0.670, 0.500, 0.336], [0.670, 0.000, 0.836], [0.825, 0.000, 0.163], [0.175, 0.000, 0.837], [0.175, 0.500, 0.337], [0.825, 0.500, 0.663]], "formation_enthalpy_0k_kcal_per_mol_atoms": 3.7, "de_polymorph_mev_per_atom": 113.9, "energy_ev_per_cell": -103.25, "dos_ef_per_ev_cell": 11.81}

---

{"formula": "NiOs2Ru", "functional": "GGA-PBE", "state": "relaxed", "lattice_angstrom": [[3.807, 0.000, 0.000], [0.000, 3.767, 0.000], [0.000, 0.000, 3.767]], "species": ["Ru", "Os", "Os", "Ni"], "fractional_positions": [[0.500, 0.500, 0.000], [0.000, 0.500, 0.500], [0.000, 0.000, 0.000], [0.500, 0.000, 0.500]], "formation_enthalpy_0k_kcal_per_mol_atoms": 5.4, "de_polymorph_mev_per_atom": 96.2, "energy_ev_per_cell": -36.58, "dos_ef_per_ev_cell": 3.85}

---

{"formula": "NiOs2Ru", "functional": "GGA-PBE", "state": "relaxed", "lattice_angstrom": [[-1.999, -1.575, -0.864], [1.225, -0.251, -2.379], [3.645, -6.004, 2.510]], "species": ["Ru", "Ni", "Os", "Os"], "fractional_positions": [[0.500, 0.500, 0.250], [0.500, 0.500, 0.750], [0.000, 0.000, 0.508], [0.000, 0.000, 0.992]], "formation_enthalpy_0k_kcal_per_mol_atoms": 4.4, "de_polymorph_mev_per_atom": 51.0, "energy_ev_per_cell": -36.76, "dos_ef_per_ev_cell": 5.90}